{
  "formula": "Ac3HgGe2Pd6",
  "functional": "GGA-PBE",
  "state": "relaxed",
  "lattice_angstrom": [[5.976, 0.000, 0.000], [-2.988, 5.175, 0.000], [0.000, 0.000, 9.086]],
  "species": ["Ac", "Ge", "Pd", "Pd", "Ge", "Ac", "Pd", "Pd", "Ac", "Pd", "Pd", "Hg"],
  "fractional_positions": [[0.667, 0.333, 0.348], [0.667, 0.333, 0.954], [0.648, 0.824, 0.271], [0.824, 0.648, 0.729], [0.333, 0.667, 0.046], [0.333, 0.667, 0.652], [0.176, 0.824, 0.271], [0.352, 0.176, 0.729], [0.000, 0.000, 0.000], [0.176, 0.352, 0.271], [0.824, 0.176, 0.729], [0.000, 0.000, 0.500]],
  "space_group": "No. 164",
  "formation_enthalpy_0k_ev_per_atom": -0.6317
}



{
  "formula": "TbPuSe2",
  "functional": "GGA-PBE",
  "state": "relaxed",
  "lattice_angstrom": [[4.042, 0.000, 0.000], [-2.021, 3.500, 0.000], [0.000, 0.000, 14.099]],
  "species": ["Se", "Se", "Tb", "Pu", "Se", "Se", "Pu", "Tb"],
  "fractional_positions": [[0.667, 0.333, 0.880], [0.333, 0.667, 0.120], [0.000, 0.000, 0.000], [0.333, 0.667, 0.750], [0.333, 0.667, 0.380], [0.667, 0.333, 0.620], [0.667, 0.333, 0.250], [0.000, 0.000, 0.500]],
  "relative_energy_ev_per_atom": 0.043,
  "space_group": "No. 194",
  "e_form_raw_mev_per_atom": -1636
}



{
  "formula": "VCrPbAuBr",
  "functional": "GGA-PBE",
  "state": "relaxed",
  "lattice_angstrom": [[-2.674, -1.152, -1.192], [2.270, -1.577, -3.569], [1.388, -7.066, 3.989]],
  "species": ["Pb", "Au", "V", "Cr", "Br"],
  "fractional_positions": [[0.876, 0.990, 0.606], [0.388, 0.989, 0.938], [0.891, 0.489, 0.010], [0.380, 0.490, 0.748], [0.399, 0.489, 0.252]],
  "relative_energy_ev_per_atom": 0.123,
  "space_group": "No. 1",
  "e_form_raw_mev_per_atom": 154
}



{
  "formula": "Mg7Sn4Hg",
  "functional": "GGA-PBE",
  "state": "relaxed",
  "lattice_angstrom": [[-3.244, 4.068, 0.795], [-2.126, 0.032, 8.583], [3.941, 6.281, 1.367]],
  "species": ["Hg", "Mg", "Mg", "Sn", "Mg", "Mg", "Sn", "Sn", "Mg", "Sn", "Mg", "Mg"],
  "fractional_positions": [[0.000, 0.000, 0.000], [0.647, 0.415, 0.290], [0.500, 0.000, 0.000], [0.722, 0.676, 0.881], [0.087, 0.675, 0.152], [0.213, 0.123, 0.452], [0.435, 0.770, 0.361], [0.278, 0.324, 0.119], [0.787, 0.877, 0.548], [0.565, 0.230, 0.639], [0.353, 0.585, 0.710], [0.913, 0.325, 0.848]],
  "space_group": "No. 12",
  "formation_enthalpy_0k_ev_per_atom": -0.0527
}



{
  "formula": "AgP2NCl",
  "functional": "GGA-PBE",
  "state": "relaxed",
  "lattice_angstrom": [[-0.996, 0.297, 3.640], [-3.645, -0.319, -0.971], [0.440, -7.186, 0.707]],
  "species": ["N", "P", "P", "Cl", "Ag"],
  "fractional_positions": [[0.000, 0.000, 0.000], [0.500, 0.000, 0.000], [0.000, 0.500, 0.000], [0.000, 0.000, 0.500], [0.500, 0.500, 0.500]],
  "relative_energy_ev_per_atom": 0.000,
  "space_group": "No. 123",
  "e_form_raw_mev_per_atom": 770
}



{
  "formula": "AlI3Br",
  "functional": "GGA-PBE",
  "state": "relaxed",
  "lattice_angstrom": [[0.092, -0.051, 8.611], [-6.511, 0.320, -5.628], [3.445, -7.884, -0.294]],
  "species": ["I", "I", "Br", "I", "I", "Al", "I", "Br", "I", "Al"],
  "fractional_positions": [[0.110, 0.781, 0.828], [0.032, 0.252, 0.721], [0.427, 0.782, 0.145], [0.032, 0.811, 0.279], [0.954, 0.282, 0.172], [0.532, 0.032, 0.000], [0.532, 0.752, 0.721], [0.636, 0.281, 0.855], [0.532, 0.311, 0.279], [0.032, 0.532, 0.000]],
  "relative_energy_ev_per_atom": 0.000,
  "space_group": "No. 74",
  "e_form_raw_mev_per_atom": -510
}



{
  "formula": "TaGaRu3",
  "functional": "GGA-PBE",
  "state": "relaxed",
  "lattice_angstrom": [[-3.808, -2.339, -0.096], [1.482, -2.552, 3.358], [-1.812, 2.829, 2.949]],
  "species": ["Ta", "Ru", "Ga", "Ru", "Ru"],
  "fractional_positions": [[0.500, 0.500, 0.500], [0.000, 0.000, 0.500], [0.000, 0.000, 0.000], [0.500, 0.000, 0.000], [0.000, 0.500, 0.000]],
  "relative_energy_ev_per_atom": 0.000,
  "space_group": "No. 221",
  "formation_enthalpy_0k_ev_per_atom": 0.9486
}



{
  "formula": "LaCeIr",
  "functional": "GGA-PBE",
  "state": "relaxed",
  "lattice_angstrom": [[-2.415, -2.668, -0.613], [2.601, -2.491, 0.598], [-1.358, 2.518, 5.254]],
  "species": ["La", "Ir", "Ce"],
  "fractional_positions": [[0.007, 0.007, 0.014], [0.682, 0.682, 0.364], [0.311, 0.311, 0.622]],
  "relative_energy_ev_per_atom": 0.083,
  "space_group": "No. 107",
  "formation_enthalpy_0k_ev_per_atom": -0.4550
}



{
  "formula": "Ce6ScIn2",
  "functional": "GGA-PBE",
  "state": "relaxed",
  "lattice_angstrom": [[4.217, 0.000, -1.261], [-0.788, 6.326, -2.637], [0.248, 0.381, 8.513]],
  "species": ["Ce", "Sc", "Ce", "Ce", "Ce", "In", "In", "Ce", "Ce"],
  "fractional_positions": [[0.701, 0.900, 0.401], [0.500, 0.500, 0.000], [0.613, 0.200, 0.226], [0.387, 0.800, 0.774], [0.299, 0.100, 0.599], [0.047, 0.819, 0.093], [0.953, 0.181, 0.907], [0.169, 0.477, 0.338], [0.831, 0.523, 0.662]],
  "space_group": "No. 12",
  "formation_enthalpy_0k_ev_per_atom": -0.1287
}



{
  "formula": "AlCoP",
  "functional": "GGA-PBE",
  "state": "relaxed",
  "lattice_angstrom": [[3.846, 0.000, 0.000], [1.923, 3.331, 0.000], [1.923, 1.110, 3.140]],
  "species": ["P", "Al", "Co"],
  "fractional_positions": [[0.750, 0.750, 0.750], [0.000, 0.000, 0.000], [0.500, 0.500, 0.500]],
  "space_group": "No. 216",
  "formation_enthalpy_0k_ev_per_atom": -0.1930
}



{
  "formula": "Pa4GeAs2Ir",
  "functional": "GGA-PBE",
  "state": "relaxed",
  "lattice_angstrom": [[4.006, 0.000, 0.000], [0.000, 7.148, -0.192], [0.000, 2.469, 6.711]],
  "species": ["Pa", "Pa", "Pa", "Ge", "As", "Pa", "Ir", "As"],
  "fractional_positions": [[0.500, 0.744, 0.244], [0.000, 0.265, 0.236], [0.500, 0.256, 0.756], [0.000, 0.500, 0.500], [0.000, 0.000, 0.000], [0.000, 0.735, 0.764], [0.500, 0.500, 0.000], [0.500, 0.000, 0.500]],
  "space_group": "No. 10",
  "formation_enthalpy_0k_ev_per_atom": -0.7859
}



{
  "formula": "SmThSi2",
  "functional": "GGA-PBE",
  "state": "relaxed",
  "lattice_angstrom": [[-1.131, 3.357, -2.318], [-3.556, -0.112, -2.294], [-5.106, 3.595, 3.833]],
  "species": ["Si", "Th", "Si", "Sm"],
  "fractional_positions": [[0.750, 0.750, 0.751], [0.500, 0.500, 0.500], [0.250, 0.250, 0.249], [0.000, 0.000, 0.000]],
  "relative_energy_ev_per_atom": 0.187,
  "space_group": "No. 166",
  "e_form_raw_mev_per_atom": -547
}



{
  "formula": "KAgF2",
  "functional": "GGA-PBE",
  "state": "relaxed",
  "lattice_angstrom": [[-0.757, -4.464, -3.622], [4.693, 1.630, -2.990], [5.082, -4.533, -0.116]],
  "species": ["F", "F", "F", "Ag", "K", "F", "K", "Ag"],
  "fractional_positions": [[0.096, 0.625, 0.250], [0.375, 0.346, 0.750], [0.875, 0.904, 0.750], [0.750, 0.250, 0.500], [0.250, 0.750, 0.500], [0.654, 0.125, 0.250], [0.500, 0.500, 0.000], [0.000, 0.000, 0.000]],
  "relative_energy_ev_per_atom": 0.074,
  "space_group": "No. 122",
  "e_form_raw_mev_per_atom": -1792
}



{
  "formula": "CsCdOsPb2",
  "functional": "GGA-PBE",
  "state": "relaxed",
  "lattice_angstrom": [[5.657, 0.000, 0.000], [0.000, 6.344, 0.000], [0.000, 0.000, 5.657]],
  "species": ["Cd", "Cs", "Os", "Pb", "Pb"],
  "fractional_positions": [[0.000, 0.000, 0.000], [0.000, 0.500, 0.000], [0.500, 0.500, 0.500], [0.500, 0.000, 0.000], [0.000, 0.000, 0.500]],
  "space_group": "No. 123",
  "formation_enthalpy_0k_ev_per_atom": 1.5974
}



{
  "formula": "Sc2Ni",
  "functional": "GGA-PBE",
  "state": "relaxed",
  "lattice_angstrom": [[-0.377, 0.726, 4.414], [-4.473, -0.046, -0.374], [-0.010, -2.997, 0.492]],
  "species": ["Sc", "Ni", "Sc"],
  "fractional_positions": [[0.000, 0.500, 0.500], [0.000, 0.000, 0.000], [0.500, 0.000, 0.500]],
  "space_group": "No. 123",
  "formation_enthalpy_0k_ev_per_atom": -0.1475
}



{
  "formula": "NaSrV",
  "functional": "GGA-PBE",
  "state": "relaxed",
  "lattice_angstrom": [[-2.709, 4.120, 14.975], [-3.393, 0.657, 0.001], [-0.650, -3.394, 0.021]],
  "species": ["V", "Na", "Na", "Sr", "Sr", "V"],
  "fractional_positions": [[0.028, 0.222, 0.778], [0.598, 0.151, 0.849], [0.402, 0.849, 0.151], [0.814, 0.435, 0.565], [0.186, 0.565, 0.435], [0.972, 0.778, 0.222]],
  "relative_energy_ev_per_atom": 0.000,
  "space_group": "No. 12",
  "formation_enthalpy_0k_ev_per_atom": 0.3925
}



{
  "formula": "AcHo8Er2",
  "functional": "GGA-PBE",
  "state": "relaxed",
  "lattice_angstrom": [[-5.151, -1.720, 0.545], [3.882, -8.984, 3.137], [3.038, -4.725, 8.607]],
  "species": ["Ho", "Ho", "Ac", "Ho", "Ho", "Ho", "Ho", "Er", "Ho", "Er", "Ho"],
  "fractional_positions": [[0.765, 0.809, 0.809], [0.270, 0.132, 0.594], [0.000, 0.000, 0.000], [0.730, 0.406, 0.868], [0.730, 0.868, 0.406], [0.240, 0.548, 0.548], [0.235, 0.191, 0.191], [0.754, 0.285, 0.285], [0.760, 0.452, 0.452], [0.246, 0.715, 0.715], [0.270, 0.594, 0.132]],
  "space_group": "No. 12",
  "formation_enthalpy_0k_ev_per_atom": 0.1271
}



{
  "formula": "Mn2AsAuS",
  "functional": "GGA-PBE",
  "state": "relaxed",
  "lattice_angstrom": [[-2.574, 2.725, -2.212], [-0.528, -3.395, -3.569], [-3.479, -1.618, 2.054]],
  "species": ["Mn", "As", "Au", "S", "Mn"],
  "fractional_positions": [[0.500, 0.000, 0.000], [0.000, 0.500, 0.000], [0.500, 0.500, 0.500], [0.000, 0.000, 0.000], [0.000, 0.000, 0.500]],
  "space_group": "No. 123",
  "e_form_raw_mev_per_atom": 398
}



{
  "formula": "PS2ICl",
  "functional": "GGA-PBE",
  "state": "relaxed",
  "lattice_angstrom": [[4.522, 0.000, 0.000], [0.000, 4.522, 0.000], [0.000, 0.000, 5.708]],
  "species": ["S", "S", "I", "P", "Cl"],
  "fractional_positions": [[0.500, 0.000, 0.000], [0.000, 0.500, 0.000], [0.500, 0.500, 0.500], [0.000, 0.000, 0.500], [0.000, 0.000, 0.000]],
  "relative_energy_ev_per_atom": 0.776,
  "space_group": "No. 123",
  "e_form_raw_mev_per_atom": 1230
}



{
  "formula": "CuB4Pd12",
  "functional": "GGA-PBE",
  "state": "relaxed",
  "lattice_angstrom": [[-4.247, -1.503, -5.052], [6.118, 1.397, -2.536], [0.455, -5.279, 4.212]],
  "species": ["Pd", "Pd", "B", "Pd", "Pd", "B", "B", "Pd", "Cu", "Pd", "Pd", "Pd", "Pd", "B", "Pd", "Pd", "Pd"],
  "fractional_positions": [[0.490, 0.175, 0.315], [0.825, 0.315, 0.140], [0.500, 0.500, 0.500], [0.825, 0.685, 0.510], [0.315, 0.490, 0.175], [0.000, 0.000, 0.500], [0.500, 0.000, 0.000], [0.685, 0.510, 0.825], [0.000, 0.000, 0.000], [0.685, 0.860, 0.175], [0.860, 0.175, 0.685], [0.315, 0.140, 0.825], [0.140, 0.825, 0.315], [0.000, 0.500, 0.000], [0.510, 0.825, 0.685], [0.175, 0.315, 0.490], [0.175, 0.685, 0.860]],
  "space_group": "No. 204",
  "formation_enthalpy_0k_ev_per_atom": -0.1739
}



{
  "formula": "Ir2AuBr",
  "functional": "GGA-PBE",
  "state": "relaxed",
  "lattice_angstrom": [[-3.966, 1.575, -1.732], [-1.205, -0.107, 2.662], [1.999, 4.943, -0.081]],
  "species": ["Br", "Ir", "Au", "Ir"],
  "fractional_positions": [[0.500, 0.750, 0.750], [0.000, 0.611, 0.479], [0.500, 0.250, 0.250], [0.000, 0.889, 0.021]],
  "relative_energy_ev_per_atom": 0.428,
  "space_group": "No. 10",
  "e_form_raw_mev_per_atom": 882
}



{
  "formula": "YW3",
  "functional": "GGA-PBE",
  "state": "relaxed",
  "lattice_angstrom": [[-3.962, 3.736, -1.191], [-1.176, -4.525, 3.035], [0.612, 1.382, 2.298]],
  "species": ["W", "W", "W", "Y"],
  "fractional_positions": [[0.000, 0.500, 0.500], [0.000, 0.000, 0.000], [0.500, 0.000, 0.500], [0.500, 0.500, 0.000]],
  "relative_energy_ev_per_atom": 0.315,
  "space_group": "No. 65",
  "formation_enthalpy_0k_ev_per_atom": 0.7026
}



{
  "formula": "Zn2PtW",
  "functional": "GGA-PBE",
  "state": "relaxed",
  "lattice_angstrom": [[7.038, 0.000, 0.000], [0.000, 7.038, 0.000], [3.519, 3.519, 2.639]],
  "species": ["Zn", "Pt", "Pt", "W", "Zn", "Zn", "Zn", "W"],
  "fractional_positions": [[0.375, 0.364, 0.750], [0.750, 0.250, 0.500], [0.000, 0.000, 0.000], [0.500, 0.500, 0.000], [0.636, 0.125, 0.250], [0.875, 0.886, 0.750], [0.114, 0.625, 0.250], [0.250, 0.750, 0.500]],
  "relative_energy_ev_per_atom": 0.586,
  "space_group": "No. 122",
  "formation_enthalpy_0k_ev_per_atom": 0.4745
}



{
  "formula": "AcEuIn2",
  "functional": "GGA-PBE",
  "state": "relaxed",
  "lattice_angstrom": [[4.042, 0.000, 0.000], [0.000, 4.042, 0.000], [0.000, 0.000, 8.017]],
  "species": ["Ac", "Eu", "In", "In"],
  "fractional_positions": [[0.500, 0.500, 0.000], [0.500, 0.500, 0.500], [0.000, 0.000, 0.735], [0.000, 0.000, 0.265]],
  "relative_energy_ev_per_atom": 0.000,
  "space_group": "No. 123",
  "formation_enthalpy_0k_ev_per_atom": -0.4447
}



{
  "formula": "BaCrPb4",
  "functional": "GGA-PBE",
  "state": "relaxed",
  "lattice_angstrom": [[0.173, -1.514, 6.397], [-5.485, -1.933, 3.071], [-0.664, -6.255, 1.917]],
  "species": ["Cr", "Pb", "Pb", "Ba", "Pb", "Pb"],
  "fractional_positions": [[0.000, 0.000, 0.000], [0.375, 0.375, 0.375], [0.375, 0.874, 0.375], [0.750, 0.750, 0.750], [0.375, 0.375, 0.874], [0.874, 0.375, 0.375]],
  "space_group": "No. 216",
  "formation_enthalpy_0k_ev_per_atom": 0.1847
}



{
  "formula": "VInSi3",
  "functional": "GGA-PBE",
  "state": "relaxed",
  "lattice_angstrom": [[-3.287, -2.148, 2.529], [-0.009, -3.554, -3.031], [3.319, -2.138, 2.497]],
  "species": ["Si", "Si", "In", "Si", "V"],
  "fractional_positions": [[0.000, 0.500, 0.000], [0.000, 0.000, 0.500], [0.500, 0.500, 0.500], [0.500, 0.000, 0.000], [0.000, 0.000, 0.000]],
  "relative_energy_ev_per_atom": 0.000,
  "space_group": "No. 221",
  "e_form_raw_mev_per_atom": 351
}